No. 1
An optimized crystal structure of PtSeCl2. Source: Alexandria, functional GGA-PBE.

Values from the calculation:
* energy above the most stable polymorph in this dataset: 0.567 eV per atom
* energy relative to the elements, uncorrected: 0.19 eV/atom
* total energy: -3.1103 eV per atom

Unit cell a=3.2061 b=3.2061 c=8.4005 alpha=90.00 beta=90.00 gamma=90.00
Closest atoms and distances in Å follow each position.
Space group P4mm (No. 99)
One atom of each set of equivalent atoms:
Pt  0.0000  0.0000  0.0000 x1  4 Se 2.67, 4 Cl 2.84
Se  0.5000  0.5000  0.1671 x1  4 Pt 2.67, 4 Cl 2.95
Cl  0.0000  0.0000  0.3927 x1  4 Se 2.95, 4 Cl 3.21, 1 Pt 3.30
Cl  0.5000  0.5000  0.7968 x1  4 Pt 2.84, 1 Se 3.11

No. 2
An optimized crystal structure of Pt2SeCl2. Source: Alexandria, functional GGA-PBE.

Values from the calculation:
* energy above the most stable polymorph in this dataset: 0.661 eV per atom
* energy relative to the elements, uncorrected: 0.72 eV/atom
* total energy: -3.1284 eV per atom

Unit cell a=4.1213 b=4.1213 c=11.6791 alpha=90.00 beta=90.00 gamma=90.00
Closest atoms and distances in Å follow each position.
Space group I4/mmm (No. 139)
One atom of each set of equivalent atoms:
Pt  0.0000  0.0000  0.1084 x4  1 Pt 2.53, 4 Cl 2.64
Se  0.0000  0.0000  0.5000 x2  8 Pt 3.18
Cl  0.0000  0.5000  0.2500 x4  4 Pt 2.64, 4 Cl 2.91

No. 3
An optimized crystal structure of PtSeCl2. Source: Alexandria, functional GGA-PBE.

Values from the calculation:
* energy above the most stable polymorph in this dataset: 0.030 eV per atom
* energy relative to the elements, uncorrected: -0.34 eV/atom
* total energy: -3.6477 eV per atom

Unit cell a=3.5393 b=4.8942 c=14.9160 alpha=90.00 beta=90.00 gamma=90.00
Closest atoms and distances in Å follow each position.
Space group Imm2 (No. 44)
One atom of each set of equivalent atoms:
Pt  0.0000  0.0000  0.0000 x2  2 Se 2.38, 2 Cl 2.40
Se  0.0000  0.5000  0.6062 x2  2 Pt 2.38, 2 Cl 2.54
Cl  0.0000  0.0000  0.6525 x2  2 Se 2.54
Cl  0.0000  0.5000  0.3914 x2  2 Pt 2.40

No. 4
An optimized crystal structure of PtSe2Cl2. Source: Alexandria, functional GGA-PBE.

Values from the calculation:
* energy relative to the elements, uncorrected: -0.42 eV/atom
* total energy: -3.7636 eV per atom

Unit cell a=14.8289 b=3.8096 c=4.6771 alpha=90.00 beta=101.01 gamma=90.00
Closest atoms and distances in Å follow each position.
Space group C2/m (No. 12)
One atom of each set of equivalent atoms:
Pt  0.0000  0.0000  0.0000 x2  2 Cl 2.35, 4 Se 2.54
Se  0.0573  0.5000  0.7212 x4  1 Se 2.41, 2 Pt 2.54
Cl  0.1503  0.0000  0.2734 x4  1 Pt 2.35